No. 1
# NaAg3Ir4O12

An optimized crystal structure of NaAg3Ir4O12 (PBE, the Open Quantum Materials Database).

- E_tot: -5.77 eV per atom

a b c (Å): 7.6340 7.6340 7.6340
angles (deg): 90.00 90.00 90.00
With the nearest neighbours (Å) after each atom.
Space group Im-3 (No. 204)
Inequivalent atoms, fractional coordinates:
Na1 0.0000 0.0000 0.0000 x2  12 O 2.64
Ag1 0.0000 0.0000 0.5000 x6  4 O 2.10
Ir1 0.2500 0.2500 0.2500 x8  6 O 2.01
O1 0.0000 0.2935 0.1818 x24  2 Ir 2.01, 1 Ag 2.10

No. 2
# TaGe2

An optimized crystal structure of TaGe2 (PBE, the Open Quantum Materials Database).

- E_tot: -6.41 eV per atom

a b c (Å): 7.4782 7.4782 7.4782
angles (deg): 90.00 90.00 90.00
With the nearest neighbours (Å) after each atom.
Space group Fd-3m (No. 227, origin choice 2)
Inequivalent atoms, fractional coordinates:
Ta1 0.1250 0.1250 0.1250 x8  12 Ge 3.10, 4 Ta 3.24
Ge1 0.0000 0.0000 0.5000 x16  6 Ge 2.64

No. 3
# ZnCu2SnS4

An optimized crystal structure of ZnCu2SnS4 (PBE, the Open Quantum Materials Database).

- E above lowest polymorph: 3 meV per atom

a b c (Å): 5.4401 5.4401 10.9421
angles (deg): 90.00 90.00 90.00
With the nearest neighbours (Å) after each atom.
Space group I-42m (No. 121)
Inequivalent atoms, fractional coordinates:
Zn1 0.0000 0.0000 0.0000 x2  4 S 2.37
Cu1 0.0000 0.5000 0.2500 x4  4 S 2.31
Sn1 0.0000 0.0000 0.5000 x2  4 S 2.46
S1 0.2421 0.2421 0.8667 x8  2 Cu 2.31, 1 Zn 2.37, 1 Sn 2.46

No. 4
# BeCdPO

An optimized crystal structure of BeCdPO (PBE, the Open Quantum Materials Database).

- E above lowest polymorph: 377 meV per atom

a b c (Å): 3.6828 3.6828 9.1235
angles (deg): 90.00 90.00 90.00
With the nearest neighbours (Å) after each atom.
Space group P4/nmm (No. 129, origin choice 2)
Inequivalent atoms, fractional coordinates:
Be1 0.2500 0.2500 0.0115 x2  4 O 1.84
Cd1 0.2500 0.7500 0.5000 x2  4 Cd 2.60, 4 P 2.64
P1 0.2500 0.2500 0.2926 x2  1 Be 2.56, 4 Cd 2.64
O1 0.2500 0.7500 0.0000 x2  4 Be 1.84

No. 5
# SmDyBe2Si2

An optimized crystal structure of SmDyBe2Si2 (PBE, the Open Quantum Materials Database).

- E_tot: -5.25 eV per atom

a b c (Å): 3.8995 3.8995 8.1836
angles (deg): 90.00 90.00 120.00
With the nearest neighbours (Å) after each atom.
Space group P-3m1 (No. 164)
Inequivalent atoms, fractional coordinates:
Sm1 0.0000 0.0000 0.0000 x1  6 Be 3.07, 6 Si 3.07
Dy1 0.0000 0.0000 0.5000 x1  6 Si 3.01, 6 Be 3.01
Be1 0.3333 0.6667 0.2551 x2  3 Si 2.25
Si1 0.3333 0.6667 0.7441 x2  3 Be 2.25

No. 6
# Dy3Mg3TlPd2

An optimized crystal structure of Dy3Mg3TlPd2 (PBE, the Open Quantum Materials Database).

- E_tot: -3.97 eV per atom

a b c (Å): 7.5372 7.5372 4.2084
angles (deg): 90.00 90.00 120.00
With the nearest neighbours (Å) after each atom.
Space group P-62m (No. 189)
Inequivalent atoms, fractional coordinates:
Dy1 0.0000 0.4221 0.0000 x3  4 Pd 3.08, 1 Tl 3.18, 2 Mg 3.19
Mg1 0.0000 0.7406 0.5000 x3  2 Pd 2.83, 2 Tl 2.87
Tl1 0.0000 0.0000 0.0000 x1  6 Mg 2.87, 3 Dy 3.18
Pd1 0.3333 0.6667 0.5000 x2  3 Mg 2.83, 6 Dy 3.08